[1]
Below is a relaxed structure of MoAsPt, with properties calculated at the PBE level.

```
MoAsPt
1.0
-3.8015 1.8786 -2.3574
-3.4160 -3.0147 -1.6674
2.3931 1.6315 3.8922
Mo As Pt
1 1 1
direct
0.3288 0.3288 0.0000 Mo
0.9983 0.9983 0.0000 As
0.6729 0.6729 0.0000 Pt
```

## Properties
* total moment: 0.0 μB/f.u.
* raw total energy: -7.0713 eV per atom
* space group: No. 44
* crystal system: orthorhombic
* Fermi-level density of states: 0.830 states/eV per atom

***

[2]
Below is a relaxed structure of Mo2As2Pt, with properties calculated at the PBE level.

```
Mo2As2Pt
1.0
7.2348 0.0000 0.0000
0.0000 7.2348 0.0000
0.0000 0.0000 3.0316
Mo As Pt
4 4 2
direct
0.1475 0.6475 0.5000 Mo
0.6475 0.8525 0.5000 Mo
0.8525 0.3525 0.5000 Mo
0.3525 0.1475 0.5000 Mo
0.3510 0.8510 0.0000 As
0.8510 0.6490 0.0000 As
0.6490 0.1490 0.0000 As
0.1490 0.3510 0.0000 As
0.0000 0.0000 0.0000 Pt
0.5000 0.5000 0.0000 Pt
```

## Properties
* total moment: 0.0 μB/f.u.
* raw total energy: -7.3482 eV per atom
* space group: No. 127
* crystal system: tetragonal
* Fermi-level density of states: 0.749 states/eV per atom

***

[3]
Below is a relaxed structure of MoAsPt, with properties calculated at the PBE level.

```
MoAsPt
1.0
4.1870 0.0000 0.0000
2.0935 3.6261 0.0000
2.0935 1.2087 3.4187
Mo As Pt
1 1 1
direct
0.0000 0.0000 0.0000 Mo
0.7500 0.7500 0.7500 As
0.5000 0.5000 0.5000 Pt
```

## Properties
* total moment: 0.0 μB/f.u.
* raw total energy: -7.1464 eV per atom
* space group: No. 216
* crystal system: cubic
* Fermi-level density of states: 0.509 states/eV per atom